1.
First-principles (PBE) data for a relaxed Na2InRh crystal, as listed in the Alexandria database.

```
Na2InRh
1.0
1.513 0.873 11.201
-1.513 0.873 11.201
0.000 -1.747 11.201
Na In Rh
2 1 1
direct
0.080 0.080 0.080 Na
0.920 0.920 0.920 Na
0.500 0.500 0.500 In
0.000 0.000 0.000 Rh
```

Calculated values
E_form: 0.399 eV/atom
final energy: -2.7834 eV/atom
density of states at the Fermi level: 2.2 states/eV/cell
space-group type: R-3m, No. 166

=====

2.
First-principles (PBE) data for a relaxed In2Ag4Au5 crystal, as listed in the Alexandria database.

```
In2Ag4Au5
1.0
7.224 0.000 0.000
0.000 18.928 0.000
0.000 0.000 3.093
In Ag Au
4 8 10
direct
0.132 0.216 0.000 In
0.368 0.716 0.000 In
0.632 0.284 0.000 In
0.868 0.784 0.000 In
0.013 0.632 0.000 Ag
0.171 0.957 0.000 Ag
0.329 0.457 0.000 Ag
0.487 0.132 0.000 Ag
0.513 0.868 0.000 Ag
0.671 0.543 0.000 Ag
0.829 0.043 0.000 Ag
0.987 0.368 0.000 Ag
0.000 0.500 0.500 Au
0.163 0.087 0.500 Au
0.191 0.826 0.500 Au
0.309 0.326 0.500 Au
0.337 0.587 0.500 Au
0.500 0.000 0.500 Au
0.663 0.413 0.500 Au
0.691 0.674 0.500 Au
0.809 0.174 0.500 Au
0.837 0.913 0.500 Au
```

Calculated values
E_form: -0.062 eV/atom
final energy: -3.0867 eV/atom
density of states at the Fermi level: 4.9 states/eV/cell
space-group type: Pbam, No. 55

=====

3.
First-principles (PBE) data for a relaxed TaTiNb4 crystal, as listed in the Alexandria database.

```
TaTiNb4
1.0
7.236 -2.686 0.000
7.236 2.686 0.000
-0.071 0.000 2.854
Ta Ti Nb
1 1 4
direct
0.000 0.000 0.000 Ta
0.167 0.167 0.541 Ti
0.082 0.580 0.256 Nb
0.498 0.498 0.572 Nb
0.580 0.082 0.256 Nb
0.667 0.667 0.961 Nb
```

Calculated values
E_form: 0.186 eV/atom
final energy: -9.8188 eV/atom
density of states at the Fermi level: 8.5 states/eV/cell
space-group type: Cm, No. 8

=====

4.
First-principles (PBE) data for a relaxed PtBrCl crystal, as listed in the Alexandria database.

```
PtBrCl
1.0
-1.645 1.645 6.691
1.645 -1.645 6.691
1.645 1.645 -6.691
Pt Br Cl
1 1 1
direct
0.000 0.000 0.000 Pt
0.620 0.620 0.000 Br
0.383 0.383 0.000 Cl
```

Calculated values
final energy: -2.6534 eV/atom
density of states at the Fermi level: 4.7 states/eV/cell
space-group type: I4mm, No. 107
uncorrected formation energy: 0.533 eV per atom

=====

Number 1: density 4.93 Mg/m³, M_tot 0.66 μB/cell. Number 2: density 12.92 Mg/m³, M_tot 0.00 μB/cell. Number 3: density 8.99 Mg/m³, M_tot 0.00 μB/cell. Number 4: density 7.12 Mg/m³, M_tot 1.43 μB/cell.